Below is a relaxed structure of NaAc2Ho, with properties calculated at the GGA-PBE level.

Values from the calculation:
space-group type: No. 123
total moment: 0.0000 μB/atom
V: 160.5 Å³/f.u.
energy of formation: 0.11 eV/atom
excess energy over the best structure of this formula in the dataset: 28 meV per atom
total energy: -3.42 eV/atom

Cell lengths 3.804, 3.804, 11.092 Å; angles 90.00, 90.00, 90.00 degrees
Sites, in units of the cell vectors:
Na  0.500  0.500  0.500
Ac  0.000  0.000  0.766
Ac  0.000  0.000  0.234
Ho  0.500  0.500  0.000